DFT (PBE) results for a relaxed structure of CsYBe2Br8.

Unit cell a=6.6658 b=6.6658 c=11.2635 alpha=72.79 beta=72.79 gamma=60.00
Closest atoms and distances in Å follow each position.
Sites, in units of the cell vectors:
1 Br 0.2801 0.9648 0.1582  1 Be 2.24
2 Be 0.2569 0.2569 0.2294  4 Br 2.12-2.24
3 Br 0.4031 0.7199 0.8418  1 Be 2.24
4 Br 0.0352 0.4031 0.8418  1 Be 2.24
5 Cs 0.5000 0.5000 0.5000  12 Br 3.92-4.28
6 Br 0.7199 0.0352 0.8418  1 Be 2.24
7 Br 0.5969 0.2801 0.1582  1 Be 2.24
8 Be 0.7431 0.7431 0.7706  4 Br 2.12-2.24
9 Br 0.1902 0.1902 0.4293  1 Be 2.12
10 Br 0.9648 0.5969 0.1582  1 Be 2.24
11 Y 0.0000 0.0000 0.0000  6 Br 2.83
12 Br 0.8098 0.8098 0.5707  1 Be 2.12

ΔE_f (raw), meV/atom: -1413
DFT total energy, eV for the cell shown: -45.115
Total magnetization, μB/cell: 0.00